# SbTeMo, optimized geometry, DFT PBE-GGA
# - Crystal system: tetragonal
# - Volume: 144.8 Å³ per cell
# - Raw formation energy: 0.0587 eV/atom
data_SbTeMo
_chemical_formula_sum 'Sb2 Te2 Mo2'
_symmetry_space_group_name_H-M 'I 4 m m'
_symmetry_Int_Tables_number 107
_symmetry_space_group_name_Hall 'I 4 -2'
_cell_length_a 3.299
_cell_length_b 3.299
_cell_length_c 13.306
_cell_angle_alpha 90.00
_cell_angle_beta 90.00
_cell_angle_gamma 90.00
loop_
_atom_site_label
_atom_site_type_symbol
_atom_site_fract_x
_atom_site_fract_y
_atom_site_fract_z
_atom_site_occupancy
Sb1 Sb 0.000 0.000 0.000 1
Te1 Te 0.000 0.000 0.749 1
Mo1 Mo 0.000 0.000 0.367 1